(1)
VPbI3 | GGA-PBE | relaxed

Cell lengths 5.5829, 5.5829, 5.5829 Å; angles 90.00, 90.00, 90.00 degrees
Last column: magnetic moment on the atom in μB.
Fractional positions:
V 0.0000 0.0000 0.0000  2.71
I 0.0000 0.5000 0.0000  -0.03
I 0.5000 0.0000 0.0000  -0.03
I 0.0000 0.0000 0.5000  -0.03
Pb 0.5000 0.5000 0.5000  0.30

Its energy relative to the elements, uncorrected is -66 meV/atom. The calculation puts the total energy at -0.1309 hartree per atom.



(2)
YV2PbI | GGA-PBE | relaxed

Cell lengths 5.2342, 6.1451, 5.2342 Å; angles 90.00, 90.00, 90.00 degrees
Last column: magnetic moment on the atom in μB.
Fractional positions:
Y 0.5000 0.5000 0.5000  0.30
Pb 0.0000 0.0000 0.0000  -0.03
I 0.0000 0.5000 0.0000  0.09
V 0.0000 0.0000 0.5000  2.84
V 0.5000 0.0000 0.0000  2.68

Its energy relative to the elements, uncorrected is 1180 meV/atom. The calculation puts the total energy at -0.1768 hartree per atom.



(3)
PbWI2 | GGA-PBE | relaxed

Cell lengths 5.2575, 5.2575, 5.2575 Å; angles 60.00, 60.00, 60.00 degrees
Last column: magnetic moment on the atom in μB.
Fractional positions:
Pb 0.5000 0.5000 0.5000  0.01
I 0.7500 0.7500 0.7500  0.00
I 0.2500 0.2500 0.2500  0.00
W 0.0000 0.0000 0.0000  1.11

Its energy relative to the elements, uncorrected is 1234 meV/atom. The calculation puts the total energy at -0.1362 hartree per atom.



(4)
Pb3WI | GGA-PBE | relaxed

Cell lengths 5.9109, 5.9109, 5.9109 Å; angles 90.00, 90.00, 90.00 degrees
Last column: magnetic moment on the atom in μB.
Fractional positions:
I 0.0000 0.0000 0.0000  0.02
Pb 0.0000 0.0000 0.5000  0.03
Pb 0.0000 0.5000 0.0000  -0.01
Pb 0.5000 0.0000 0.0000  0.02
W 0.5000 0.5000 0.5000  3.35

Its energy relative to the elements, uncorrected is 1844 meV/atom. The calculation puts the total energy at -0.1206 hartree per atom.



(5)
Pb3WI | GGA-PBE | relaxed

Cell lengths 5.4687, 5.4687, 5.4687 Å; angles 90.00, 90.00, 90.00 degrees
Fractional positions:
Pb 0.0000 0.0000 0.5000
Pb 0.0000 0.5000 0.0000
Pb 0.5000 0.0000 0.0000
W 0.0000 0.0000 0.0000
I 0.5000 0.5000 0.5000

Its energy relative to the elements, uncorrected is 381 meV/atom. The calculation puts the total energy at -0.1744 hartree per atom.



(6)
Y4PbI5 | GGA-PBE | relaxed

Cell lengths 4.3184, 8.9945, 9.7970 Å; angles 101.33, 102.73, 90.00 degrees
Fractional positions:
I 0.1680 0.3274 0.3360
I 0.5000 0.5000 0.0000
I 0.1708 0.8224 0.3416
I 0.8320 0.6726 0.6640
I 0.8292 0.1776 0.6584
Y 0.9984 0.7710 0.9967
Y 0.0016 0.2290 0.0033
Y 0.6582 0.0719 0.3164
Y 0.3418 0.9281 0.6836
Pb 0.5000 0.0000 0.0000

Its energy relative to the elements, uncorrected is -1017 meV/atom. The calculation puts the total energy at -0.1745 hartree per atom.



(7)
YPb2I | GGA-PBE | relaxed

Cell lengths 4.5020, 4.5020, 13.2402 Å; angles 80.21, 80.21, 90.00 degrees
Fractional positions:
Pb 0.6115 0.1250 0.2500
Pb 0.1385 0.6250 0.2500
Pb 0.8750 0.8615 0.7500
Pb 0.3750 0.3885 0.7500
Y 0.2500 0.7500 0.5000
Y 0.5000 0.5000 0.0000
I 0.7500 0.2500 0.5000
I 0.0000 0.0000 0.0000

Its energy relative to the elements, uncorrected is -161 meV/atom. The calculation puts the total energy at -0.1477 hartree per atom.



(8)
YPb2I | GGA-PBE | relaxed

Cell lengths 5.6729, 5.6729, 5.6729 Å; angles 60.00, 60.00, 60.00 degrees
Fractional positions:
Y 0.0000 0.0000 0.0000
Pb 0.2500 0.2500 0.2500
Pb 0.7500 0.7500 0.7500
I 0.5000 0.5000 0.5000

Its energy relative to the elements, uncorrected is 70 meV/atom. The calculation puts the total energy at -0.1392 hartree per atom.



(9)
YPbI3 | GGA-PBE | relaxed

Cell lengths 6.0229, 6.0229, 6.0229 Å; angles 90.00, 90.00, 90.00 degrees
Last column: magnetic moment on the atom in μB.
Fractional positions:
I 0.5000 0.0000 0.0000  0.00
I 0.0000 0.5000 0.0000  0.01
I 0.0000 0.0000 0.5000  0.02
Pb 0.5000 0.5000 0.5000  0.53
Y 0.0000 0.0000 0.0000  0.19

Its energy relative to the elements, uncorrected is -531 meV/atom. The calculation puts the total energy at -0.1285 hartree per atom.



(10)
YPbI6 | GGA-PBE | relaxed

Cell lengths 7.7371, 7.7345, 8.1654 Å; angles 61.61, 61.66, 59.94 degrees
Fractional positions:
I 0.0613 0.4192 0.7560
I 0.5813 0.2368 0.2439
I 0.4187 0.7632 0.7561
I 0.9387 0.5808 0.2440
I 0.2369 0.9388 0.2430
I 0.7631 0.0612 0.7570
Y 0.0000 0.0000 0.0000
Pb 0.5000 0.5000 0.5000

Its energy relative to the elements, uncorrected is -814 meV/atom. The calculation puts the total energy at -0.1194 hartree per atom.



(11)
ZnPb2I | GGA-PBE | relaxed

Cell lengths 5.5493, 5.5493, 5.5493 Å; angles 60.00, 60.00, 60.00 degrees
Fractional positions:
Zn 0.0000 0.0000 0.0000
Pb 0.2500 0.2500 0.2500
Pb 0.7500 0.7500 0.7500
I 0.5000 0.5000 0.5000

Its energy relative to the elements, uncorrected is 205 meV/atom. The calculation puts the total energy at -0.0866 hartree per atom.



(12)
ZnPbI2 | GGA-PBE | relaxed

Cell lengths 9.1839, 9.1839, 7.6912 Å; angles 53.34, 53.34, 90.00 degrees
Fractional positions:
I 0.8750 0.9155 0.7500
I 0.3750 0.3345 0.7500
I 0.6655 0.1250 0.2500
I 0.0845 0.6250 0.2500
Zn 0.2500 0.7500 0.5000
Zn 0.5000 0.5000 0.0000
Pb 0.0000 0.0000 0.0000
Pb 0.7500 0.2500 0.5000

Its energy relative to the elements, uncorrected is -111 meV/atom. The calculation puts the total energy at -0.0783 hartree per atom.



Which of these has the lowest energy relative to the elements, uncorrected? Y4PbI5



Repeat the fourth record exactly.
Pb3WI | GGA-PBE | relaxed

Cell lengths 5.9109, 5.9109, 5.9109 Å; angles 90.00, 90.00, 90.00 degrees
Last column: magnetic moment on the atom in μB.
Fractional positions:
I 0.0000 0.0000 0.0000  0.02
Pb 0.0000 0.0000 0.5000  0.03
Pb 0.0000 0.5000 0.0000  -0.01
Pb 0.5000 0.0000 0.0000  0.02
W 0.5000 0.5000 0.5000  3.35

Its energy relative to the elements, uncorrected is 1844 meV/atom. The calculation puts the total energy at -0.1206 hartree per atom.



Among the records above, which one has the highest energy relative to the elements, uncorrected? number 4